No. 1
Material: NdY3Pb2
Method: DFT, GGA-PBE
State: optimized geometry

Summary:
**V**: 34.7 Å³/atom
**Density**: 6.580 g/cm3
**Formation enthalpy at 0 K**: -0.1970 eV per atom
**Uncorrected energy**: -5.460 eV/atom
**Total magnetization**: 0.000 μB per formula unit
**Crystal system**: orthorhombic

Cell lengths 9.0644, 9.0644, 9.0644 Å; angles 130.80, 72.04, 130.92 degrees
Fractional positions:
1 Nd 0.0000 0.0000 0.0000
2 Nd 0.5000 0.5000 0.0000
3 Y 0.0390 0.2500 0.7890
4 Y 0.2500 0.7500 0.5000
5 Y 0.4610 0.2500 0.2110
6 Y 0.5390 0.7500 0.7890
7 Y 0.7500 0.2500 0.5000
8 Y 0.9610 0.7500 0.2110
9 Pb 0.1434 0.6806 0.8239
10 Pb 0.3566 0.1806 0.5372
11 Pb 0.6434 0.8194 0.4628
12 Pb 0.8566 0.3194 0.1761

***

No. 2
Material: CaPr5Zn4
Method: DFT, GGA-PBE
State: optimized geometry

Summary:
**V**: 28.2 Å³/atom
**Density**: 5.915 g/cm3
**Formation enthalpy at 0 K**: -0.2261 eV per atom
**Uncorrected energy**: -3.326 eV/atom
**Total magnetization**: 0.002 μB per formula unit
**Crystal system**: tetragonal

Cell lengths 3.7488, 3.7488, 20.0994 Å; angles 90.00, 90.00, 90.00 degrees
Fractional positions:
1 Ca 0.0000 0.0000 0.0000
2 Pr 0.5000 0.5000 0.1390
3 Pr 0.5000 0.5000 0.3173
4 Pr 0.5000 0.5000 0.5000
5 Pr 0.5000 0.5000 0.6827
6 Pr 0.5000 0.5000 0.8610
7 Zn 0.0000 0.0000 0.2249
8 Zn 0.0000 0.0000 0.4079
9 Zn 0.0000 0.0000 0.5921
10 Zn 0.0000 0.0000 0.7751

***

No. 3
Material: GdErHg4
Method: DFT, GGA-PBE
State: optimized geometry

Summary:
**V**: 24.8 Å³/atom
**Density**: 12.572 g/cm3
**Formation enthalpy at 0 K**: -0.2004 eV per atom
**Uncorrected energy**: -3.509 eV/atom
**Total magnetization**: 7.428 μB per formula unit
**Crystal system**: cubic

Cell lengths 5.9485, 5.9485, 5.9485 Å; angles 60.00, 60.00, 60.00 degrees
Fractional positions:
1 Gd 0.0000 0.0000 0.0000
2 Er 0.2500 0.2500 0.2500
3 Hg 0.1251 0.6250 0.6250
4 Hg 0.6250 0.1251 0.6250
5 Hg 0.6250 0.6250 0.1251
6 Hg 0.6250 0.6250 0.6250

***

No. 4
Material: Dy5ThSc4
Method: DFT, GGA-PBE
State: optimized geometry

Summary:
**V**: 28.7 Å³/atom
**Density**: 7.079 g/cm3
**Formation enthalpy at 0 K**: 0.0436 eV per atom
**Uncorrected energy**: -5.532 eV/atom
**Total magnetization**: 0.000 μB per formula unit
**Distance to the lowest polymorph of the same formula**: 0 kJ/mol of formula units
**Crystal system**: monoclinic

Cell lengths 8.2886, 8.2886, 10.9678 Å; angles 108.07, 108.07, 23.69 degrees
Fractional positions:
1 Dy 0.0000 0.0000 0.0000
2 Dy 0.2915 0.2915 0.3824
3 Dy 0.3094 0.3094 0.9199
4 Dy 0.6906 0.6906 0.0801
5 Dy 0.7085 0.7085 0.6176
6 Th 0.0000 0.0000 0.5000
7 Sc 0.1037 0.1037 0.7977
8 Sc 0.4207 0.4207 0.7062
9 Sc 0.5793 0.5793 0.2938
10 Sc 0.8963 0.8963 0.2023